# AcNdTePt

An optimized crystal structure of AcNdTePt (PBE, Alexandria via LeMat-Bulk).

```
AcNdTePt
1.0
4.368 0.000 0.000
2.184 3.783 0.000
2.184 1.261 7.799
Ac Nd Te Pt
1 1 1 1
Direct
0.513 0.513 0.461
0.988 0.988 0.035
0.744 0.744 0.767
0.254 0.254 0.238
```

Properties
- Density of states at the Fermi level: 1.19 states/eV/cell
- Density: 8.9 g/cm³
- Space group: R3m, No. 160
- Formation energy from raw total energies: -1.309 eV/atom
- Crystal system: trigonal